[1]
The following is a PBE-GGA calculation of a relaxed CaCe2Ga crystal, from the Alexandria database.

Structure (POSCAR):
```
CaCe2Ga
1.0
3.574 0.000 0.000
1.787 3.095 0.000
1.787 1.032 11.126
Ga Ce Ca
1 2 1
Direct
0.000 0.000 0.000 Ga
0.265 0.265 0.204 Ce
0.735 0.735 0.796 Ce
0.500 0.500 0.500 Ca
```

Results
energy of formation from the pure elements	0.9	kJ per mole of atoms
energy	-4.21	eV/atom
D(E_F)	2.7224	states/eV/atom

***

[2]
The following is a PBE-GGA calculation of a relaxed LiLaP3 crystal, from the Alexandria database.

Structure (POSCAR):
```
LiLaP3
1.0
-2.799 -1.475 -4.465
2.510 -4.863 0.033
-3.977 -2.031 3.164
P Li La
3 1 1
Direct
0.500 0.000 0.000 P
0.000 0.000 0.500 P
0.000 0.500 0.000 P
0.500 0.500 0.500 Li
0.000 0.000 0.000 La
```

Results
energy of formation from the pure elements	52.7	kJ per mole of atoms
energy	-4.07	eV/atom
D(E_F)	0.7908	states/eV/atom